[1]
Below is UTi2Hg after structural relaxation, with properties calculated at the GGA-PBE level.

The value obtained for the energy above the most stable polymorph in this dataset is 0.08 eV/f.u.

It has space group P4/mmm (No. 123), with a = 3.371 Å, b = 3.371 Å, c = 6.641 Å, α = 90.00°, β = 90.00° and γ = 90.00°. Symmetry generates all atoms from U at (0.000, 0.000, 0.000), Ti at (0.500, 0.500, 0.225) and Hg at (0.000, 0.000, 0.500).



[2]
Below is SrNdCu4 after structural relaxation, with properties calculated at the GGA-PBE level.

The value obtained for the energy above the most stable polymorph in this dataset is 0.00 eV/f.u.

It has space group Pmmm (No. 47), with a = 3.981 Å, b = 4.284 Å, c = 7.449 Å, α = 90.00°, β = 90.00° and γ = 90.00°. Symmetry generates all atoms from Sr at (0.000, 0.000, 0.000), Nd at (0.000, 0.500, 0.500), Cu at (0.500, 0.000, 0.338) and Cu at (0.500, 0.500, 0.173).



[3]
Below is LiTe2Br after structural relaxation, with properties calculated at the GGA-PBE level.

For the formation energy from raw total energies, the calculation gives -0.306 eV/atom. The value obtained for the energy above the most stable polymorph in this dataset is 1.25 eV/f.u.

It has space group P4/mmm (No. 123), with a = 3.858 Å, b = 3.858 Å, c = 7.365 Å, α = 90.00°, β = 90.00° and γ = 90.00°. Symmetry generates all atoms from Li at (0.000, 0.000, 0.000), Te at (0.500, 0.500, 0.184) and Br at (0.000, 0.000, 0.500).



[4]
Below is SiHg3N after structural relaxation, with properties calculated at the GGA-PBE level.

For the formation energy from raw total energies, the calculation gives 1.130 eV/atom. The value obtained for the energy above the most stable polymorph in this dataset is 0.00 eV/f.u.

It has space group Pm-3m (No. 221), with a = 4.726 Å, b = 4.726 Å, c = 4.726 Å, α = 90.00°, β = 90.00° and γ = 90.00°. Symmetry generates all atoms from Si at (0.000, 0.000, 0.000), Hg at (0.000, 0.500, 0.500) and N at (0.500, 0.500, 0.500).



[5]
Below is CuNi2Pd6 after structural relaxation, with properties calculated at the GGA-PBE level.

The value obtained for the energy above the most stable polymorph in this dataset is 0.71 eV/f.u.

It has space group C2/m (No. 12), with a = 7.229 Å, b = 4.555 Å, c = 7.960 Å, α = 90.00°, β = 98.66° and γ = 90.00°. Symmetry generates all atoms from Cu at (0.000, 0.000, 0.000), Ni at (0.175, 0.500, 0.443), Pd at (0.012, 0.000, 0.337), Pd at (0.156, 0.500, 0.764) and Pd at (0.172, 0.500, 0.109).



[6]
Below is NaSbSe2 after structural relaxation, with properties calculated at the GGA-PBE level.

For the formation energy from raw total energies, the calculation gives -0.427 eV/atom.

It has space group R-3m (No. 166, hexagonal axes), with a = 4.2318 Å, b = 4.2318 Å, c = 25.6797 Å, α = 90.00°, β = 90.00° and γ = 120.00°. Symmetry generates all atoms from Na at (0.0000, 0.0000, 0.0000), Sb at (0.0000, 0.0000, 0.5000) and Se at (0.0000, 0.0000, 0.1054).



[7]
Below is Sm3Ho8Er4 after structural relaxation, with properties calculated at the GGA-PBE level.

The total energy comes out at -125.9 eV/cell.

It has space group C2/m (No. 12), with a = 13.308 Å, b = 12.762 Å, c = 6.699 Å, α = 90.00°, β = 120.11° and γ = 90.00°. Symmetry generates all atoms from Sm at (0.000, 0.000, 0.000), Sm at (0.250, 0.250, 0.000), Ho at (0.000, 0.141, 0.500), Ho at (0.000, 0.248, 0.000), Ho at (0.231, 0.000, 0.955), Ho at (0.240, 0.000, 0.486), Er at (0.000, 0.500, 0.000), Er at (0.000, 0.500, 0.500) and Er at (0.250, 0.250, 0.500).



[8]
Below is KNa4Cd5 after structural relaxation, with properties calculated at the GGA-PBE level.

The total energy comes out at -23.3 eV/cell.

It has space group Pmmn (No. 59, origin choice 2), with a = 10.387 Å, b = 11.061 Å, c = 5.084 Å, α = 90.00°, β = 90.00° and γ = 90.00°. Symmetry generates all atoms from K at (0.250, 0.250, 0.249), Na at (0.011, 0.750, 0.250), Na at (0.250, 0.556, 0.250), Cd at (0.057, 0.545, 0.750) and Cd at (0.250, 0.750, 0.750).



[9]
Below is Dy3PuSb4 after structural relaxation, with properties calculated at the GGA-PBE level.

For the formation energy from raw total energies, the calculation gives -0.989 eV/atom. The value obtained for the energy above the most stable polymorph in this dataset is 0.02 eV/f.u.

It has space group Pm-3m (No. 221), with a = 6.214 Å, b = 6.214 Å, c = 6.214 Å, α = 90.00°, β = 90.00° and γ = 90.00°. Symmetry generates all atoms from Dy at (0.000, 0.000, 0.500), Pu at (0.500, 0.500, 0.500), Sb at (0.000, 0.000, 0.000) and Sb at (0.000, 0.500, 0.500).



[10]
Below is TlCd2Pt after structural relaxation, with properties calculated at the GGA-PBE level.

The value obtained for the energy above the most stable polymorph in this dataset is 0.72 eV/f.u.

It has space group Cmmm (No. 65), with a = 6.161 Å, b = 8.368 Å, c = 3.221 Å, α = 90.00°, β = 90.00° and γ = 90.00°. Symmetry generates all atoms from Tl at (0.000, 0.000, 0.000), Cd at (0.250, 0.250, 0.500) and Pt at (0.000, 0.500, 0.000).



[11]
Below is KRbBaSr after structural relaxation, with properties calculated at the GGA-PBE level.

The total energy comes out at -20.2 eV/cell.

It has space group F-43m (No. 216), with a = 10.367 Å, b = 10.367 Å, c = 10.367 Å, α = 90.00°, β = 90.00° and γ = 90.00°. Symmetry generates all atoms from K at (0.000, 0.000, 0.000), Rb at (0.250, 0.250, 0.250), Ba at (0.250, 0.250, 0.750) and Sr at (0.000, 0.000, 0.500).



[12]
Below is SrTb2Cd after structural relaxation, with properties calculated at the GGA-PBE level.

The value obtained for the energy above the most stable polymorph in this dataset is 0.00 eV/f.u.

It has space group P4/mmm (No. 123), with a = 3.804 Å, b = 3.804 Å, c = 9.468 Å, α = 90.00°, β = 90.00° and γ = 90.00°. Symmetry generates all atoms from Sr at (0.000, 0.000, 0.000), Tb at (0.500, 0.500, 0.312) and Cd at (0.000, 0.000, 0.500).



Listing density for the structures above in their given order: 11.8, 6.4, 5.2, 10.1, 10.5, 3.8, 8.2, 3.9, 8.4, 12.5, 2.1, 6.3 g/cm3.